Computed, not measured: a relaxed structure of Ce2PmY at the PBE level of DFT.

abc: 4.9375 4.9375 5.1350
angles: 90.00 90.00 90.00
Element x y z (fractional)
Ce: 0.0000 0.5000 0.0000
Ce: 0.5000 0.0000 0.0000
Pm: 0.0000 0.0000 0.5000
Y: 0.5000 0.5000 0.5000

Distance to the lowest polymorph of the same formula   0.05 eV/f.u.
Energy of formation from the pure elements   118 meV/atom
Crystal system   tetragonal
DFT total energy   -5.65 eV per atom